Here is an optimized crystal structure of Cs2FeHgF6 from the Alexandria database. Energies are from GGA+U.

a b c (Å): 6.3594 6.3594 9.0126
angles (deg): 90.00 90.00 90.00
Space group I4/mmm (No. 139)
Inequivalent atoms, fractional coordinates:
Cs: 0.0000 0.5000 0.2500 (multiplicity 4)
Fe: 0.0000 0.0000 0.0000 (multiplicity 2)
Hg: 0.0000 0.0000 0.5000 (multiplicity 2)
F: 0.0000 0.0000 0.2254 (multiplicity 4)
F: 0.2419 0.2419 0.0000 (multiplicity 8)

Computed properties:
volume = 182.2 Å³/f.u.
total DFT energy (no corrections) = -4.19 eV/atom